# 1
VASP calculation (PBE-GGA) on a relaxed structure of Sm2ScSe4.

It has space group P2_1/m (No. 11), with a = 7.180 Å, b = 7.089 Å, c = 7.936 Å, α = 90.00°, β = 106.03° and γ = 90.00°. The inequivalent atoms are Sm at (0.197, 0.250, 0.052), Sm at (0.202, 0.250, 0.548), Sc at (0.281, 0.750, 0.820), Se at (0.002, 0.504, 0.252), Se at (0.487, 0.750, 0.615) and Se at (0.493, 0.750, 0.130).

As for the volume: 388.2 Å³/cell. The final energy comes out at -5.88 eV per atom. For the total magnetization, the calculation gives 0.0 μB per formula unit.

---

# 2
VASP calculation (PBE-GGA) on a relaxed structure of SmScSe3.

It has space group Pnma (No. 62), with a = 8.406 Å, b = 3.941 Å, c = 14.676 Å, α = 90.00°, β = 90.00° and γ = 90.00°. The inequivalent atoms are Sm at (0.143, 0.250, 0.198), Sc at (0.184, 0.750, 0.460), Se at (0.003, 0.250, 0.387), Se at (0.152, 0.250, 0.798) and Se at (0.158, 0.750, 0.048).

As for the volume: 486.2 Å³/cell. The final energy comes out at -6.07 eV per atom. For the total magnetization, the calculation gives 0.0 μB per formula unit. For the energy above the most stable polymorph in this dataset, the calculation gives 14 meV per atom.

---

# 3
VASP calculation (PBE-GGA) on a relaxed structure of Sm3Sc2Se6.

It has space group R-3m (No. 166, hexagonal axes), with a = 4.0185 Å, b = 4.0185 Å, c = 61.4687 Å, α = 90.00°, β = 90.00° and γ = 120.00°. The inequivalent atoms are Sm at (0.0000, 0.0000, 0.0000), Sm at (0.0000, 0.0000, 0.2756), Sc at (0.0000, 0.0000, 0.4492), Se at (0.0000, 0.0000, 0.0879), Se at (0.0000, 0.0000, 0.1967) and Se at (0.0000, 0.0000, 0.3624).

As for the volume: 859.6 Å³/cell. The final energy comes out at -6.06 eV per atom. For the total magnetization, the calculation gives 0.0 μB per formula unit.

---

# 4
VASP calculation (PBE-GGA) on a relaxed structure of SmScSe2.

It has space group P-3m1 (No. 164), with a = 3.8734 Å, b = 3.8734 Å, c = 7.1924 Å, α = 90.00°, β = 90.00° and γ = 120.00°. The inequivalent atoms are Sm at (0.0000, 0.0000, 0.0000), Sc at (0.0000, 0.0000, 0.5000) and Se at (0.3333, 0.6667, 0.7261).

As for the volume: 93.4 Å³/cell. The final energy comes out at -6.17 eV per atom. For the total magnetization, the calculation gives 0.0 μB per formula unit. For the energy above the most stable polymorph in this dataset, the calculation gives 39 meV per atom.

---

# 5
VASP calculation (PBE-GGA) on a relaxed structure of Sm2Sc2Se3.

It has space group C2/m (No. 12), with a = 13.692 Å, b = 3.852 Å, c = 9.477 Å, α = 90.00°, β = 132.50° and γ = 90.00°. The inequivalent atoms are Sm at (0.070, 0.000, 0.351), Sc at (0.244, 0.500, 0.849), Se at (0.000, 0.500, 0.500) and Se at (0.171, 0.500, 0.245).

As for the volume: 368.6 Å³/cell. The final energy comes out at -5.98 eV per atom. For the total magnetization, the calculation gives 0.0 μB per formula unit.

---

# 6
VASP calculation (PBE-GGA) on a relaxed structure of Sm5Sc3Se8.

It has space group R-3m (No. 166, hexagonal axes), with a = 8.0986 Å, b = 8.0986 Å, c = 20.1193 Å, α = 90.00°, β = 90.00° and γ = 120.00°. The inequivalent atoms are Sm at (0.0000, 0.0000, 0.0000), Sm at (0.0000, 0.0000, 0.5000), Sm at (0.0000, 0.5000, 0.0000), Sc at (0.0000, 0.5000, 0.5000), Se at (0.0000, 0.0000, 0.2419) and Se at (0.0111, 0.5056, 0.7556).

As for the volume: 1142.8 Å³/cell. The final energy comes out at -6.11 eV per atom. For the total magnetization, the calculation gives 0.0 μB per formula unit.

---

# 7
VASP calculation (PBE-GGA) on a relaxed structure of Sm3ScSe4.

It has space group Cmmm (No. 65), with a = 8.302 Å, b = 11.620 Å, c = 4.059 Å, α = 90.00°, β = 90.00° and γ = 90.00°. The inequivalent atoms are Sm at (0.000, 0.000, 0.000), Sm at (0.250, 0.250, 0.500), Sc at (0.000, 0.500, 0.000), Se at (0.000, 0.258, 0.000) and Se at (0.234, 0.500, 0.500).

As for the volume: 391.6 Å³/cell. The final energy comes out at -6.04 eV per atom. For the total magnetization, the calculation gives 0.0 μB per formula unit.

---

# 8
VASP calculation (PBE-GGA) on a relaxed structure of Sm5ScSe6.

It has space group C2/m (No. 12), with a = 7.129 Å, b = 12.391 Å, c = 7.159 Å, α = 90.00°, β = 109.48° and γ = 90.00°. The inequivalent atoms are Sm at (0.000, 0.000, 0.000), Sm at (0.000, 0.167, 0.500), Sm at (0.000, 0.325, 0.000), Sc at (0.000, 0.500, 0.500), Se at (0.236, 0.500, 0.253) and Se at (0.239, 0.341, 0.739).

As for the volume: 596.2 Å³/cell. The final energy comes out at -6.01 eV per atom. For the total magnetization, the calculation gives 0.0 μB per formula unit.

---

# 9
VASP calculation (PBE-GGA) on a relaxed structure of SmSc3Se4.

It has space group Cmmm (No. 65), with a = 7.972 Å, b = 11.194 Å, c = 3.926 Å, α = 90.00°, β = 90.00° and γ = 90.00°. The inequivalent atoms are Sm at (0.000, 0.000, 0.000), Sc at (0.000, 0.500, 0.000), Sc at (0.250, 0.250, 0.500), Se at (0.000, 0.258, 0.000) and Se at (0.234, 0.500, 0.500).

As for the volume: 350.4 Å³/cell. The final energy comes out at -6.33 eV per atom. For the total magnetization, the calculation gives 0.0 μB per formula unit. For the energy above the most stable polymorph in this dataset, the calculation gives 12 meV per atom.

---

# 10
VASP calculation (PBE-GGA) on a relaxed structure of Sm4ScSe7.

It has space group Cm (No. 8), with a = 13.438 Å, b = 4.013 Å, c = 12.245 Å, α = 90.00°, β = 104.90° and γ = 90.00°. The inequivalent atoms are Sm at (0.000, 0.000, 0.000), Sm at (0.087, 0.500, 0.371), Sm at (0.191, 0.000, 0.764), Sm at (0.388, 0.500, 0.565), Sc at (0.276, 0.500, 0.146), Se at (0.050, 0.500, 0.620), Se at (0.134, 0.500, 0.931), Se at (0.160, 0.000, 0.216), Se at (0.225, 0.000, 0.517), Se at (0.352, 0.500, 0.785), Se at (0.380, 0.000, 0.075) and Se at (0.422, 0.500, 0.343).

As for the volume: 638.0 Å³/cell. The final energy comes out at -5.97 eV per atom. For the total magnetization, the calculation gives 0.0 μB per formula unit.

---

# 11
VASP calculation (PBE-GGA) on a relaxed structure of SmScSe2.

It has space group R-3m (No. 166, hexagonal axes), with a = 4.1284 Å, b = 4.1284 Å, c = 25.5587 Å, α = 90.00°, β = 90.00° and γ = 120.00°. The inequivalent atoms are Sm at (0.0000, 0.0000, 0.0000), Sc at (0.0000, 0.0000, 0.5000) and Se at (0.0000, 0.0000, 0.3984).

As for the volume: 377.2 Å³/cell. The final energy comes out at -5.73 eV per atom. For the total magnetization, the calculation gives 0.0 μB per formula unit. For the energy above the most stable polymorph in this dataset, the calculation gives 487 meV per atom.

---

# 12
VASP calculation (PBE-GGA) on a relaxed structure of SrSmSc4Se8.

It has space group R3m (No. 160, hexagonal axes), with a = 8.1604 Å, b = 8.1604 Å, c = 20.7379 Å, α = 90.00°, β = 90.00° and γ = 120.00°. The inequivalent atoms are Sr at (0.0000, 0.0000, 0.0000), Sm at (0.0000, 0.0000, 0.6341), Sc at (0.0000, 0.0000, 0.2586), Sc at (0.1679, 0.3358, 0.4645), Se at (0.0000, 0.0000, 0.3892), Se at (0.0000, 0.0000, 0.8623), Se at (0.0308, 0.5154, 0.3938) and Se at (0.1712, 0.3423, 0.2093).

As for the volume: 1196.0 Å³/cell. The final energy comes out at -5.91 eV per atom. For the total magnetization, the calculation gives 0.0 μB per formula unit.

---

# 13
VASP calculation (PBE-GGA) on a relaxed structure of Tb4SmScSe8.

It has space group R3m (No. 160, hexagonal axes), with a = 8.3914 Å, b = 8.3914 Å, c = 20.6206 Å, α = 90.00°, β = 90.00° and γ = 120.00°. The inequivalent atoms are Tb at (0.0000, 0.0000, 0.0000), Tb at (0.1717, 0.3435, 0.2066), Sm at (0.0000, 0.0000, 0.3786), Sc at (0.0000, 0.0000, 0.7492), Se at (0.0000, 0.0000, 0.1336), Se at (0.0000, 0.0000, 0.6222), Se at (0.0019, 0.5009, 0.1268) and Se at (0.1768, 0.3536, 0.9537).

As for the volume: 1257.5 Å³/cell. The final energy comes out at -5.82 eV per atom. For the total magnetization, the calculation gives 0.9 μB per formula unit.

---

# 14
VASP calculation (PBE-GGA) on a relaxed structure of Tb3Sm4ScSe8.

It has space group R-3m (No. 166, hexagonal axes), with a = 8.1866 Å, b = 8.1866 Å, c = 20.3216 Å, α = 90.00°, β = 90.00° and γ = 120.00°. The inequivalent atoms are Tb at (0.0000, 0.5000, 0.0000), Sm at (0.0000, 0.0000, 0.5000), Sm at (0.0000, 0.5000, 0.5000), Sc at (0.0000, 0.0000, 0.0000), Se at (0.0000, 0.0000, 0.2525) and Se at (0.0078, 0.5039, 0.7456).

As for the volume: 1179.5 Å³/cell. The final energy comes out at -5.95 eV per atom. For the total magnetization, the calculation gives 0.0 μB per formula unit.

---

# 15
VASP calculation (PBE-GGA) on a relaxed structure of TbSm3Sc3Se8.

It has space group R-3m (No. 166, hexagonal axes), with a = 7.9858 Å, b = 7.9858 Å, c = 19.9037 Å, α = 90.00°, β = 90.00° and γ = 120.00°. The inequivalent atoms are Tb at (0.0000, 0.0000, 0.0000), Sm at (0.0000, 0.5000, 0.5000), Sc at (0.0000, 0.5000, 0.0000), Se at (0.0000, 0.0000, 0.2577) and Se at (0.0174, 0.5087, 0.2534).

As for the volume: 1099.3 Å³/cell. The final energy comes out at -6.15 eV per atom. For the total magnetization, the calculation gives 0.0 μB per formula unit.

---

# 16
VASP calculation (PBE-GGA) on a relaxed structure of Tb2SmSc3Se6.

It has space group C2/m (No. 12), with a = 6.883 Å, b = 11.977 Å, c = 6.971 Å, α = 90.00°, β = 109.26° and γ = 90.00°. The inequivalent atoms are Tb at (0.000, 0.166, 0.000), Sm at (0.000, 0.500, 0.000), Sc at (0.000, 0.000, 0.500), Sc at (0.000, 0.338, 0.500), Se at (0.241, 0.169, 0.730) and Se at (0.249, 0.500, 0.732).

As for the volume: 542.5 Å³/cell. The final energy comes out at -6.17 eV per atom. For the total magnetization, the calculation gives 0.0 μB per formula unit.

---

# 17
VASP calculation (PBE-GGA) on a relaxed structure of TbSmSc2Se4.

It has space group P2/m (No. 10), with a = 6.913 Å, b = 3.962 Å, c = 7.019 Å, α = 90.00°, β = 108.95° and γ = 90.00°. The inequivalent atoms are Tb at (0.000, 0.000, 0.000), Sm at (0.500, 0.500, 0.000), Sc at (0.000, 0.500, 0.500), Sc at (0.500, 0.000, 0.500), Se at (0.239, 0.000, 0.728) and Se at (0.253, 0.500, 0.270).

As for the volume: 181.8 Å³/cell. The final energy comes out at -6.18 eV per atom. For the total magnetization, the calculation gives 0.0 μB per formula unit.

---

# 18
VASP calculation (PBE-GGA) on a relaxed structure of Tb2Sm3ScSe6.

It has space group C2/m (No. 12), with a = 17.907 Å, b = 4.079 Å, c = 8.257 Å, α = 90.00°, β = 104.03° and γ = 90.00°. The inequivalent atoms are Tb at (0.166, 0.000, 0.333), Sm at (0.000, 0.500, 0.500), Sm at (0.170, 0.000, 0.836), Sc at (0.000, 0.500, 0.000), Se at (0.000, 0.000, 0.234), Se at (0.159, 0.500, 0.085) and Se at (0.168, 0.500, 0.580).

As for the volume: 585.1 Å³/cell. The final energy comes out at -5.98 eV per atom. For the total magnetization, the calculation gives 0.0 μB per formula unit.

---

# 19
VASP calculation (PBE-GGA) on a relaxed structure of TbSm2ScSe5.

It has space group P4/mmm (No. 123), with a = 5.165 Å, b = 5.165 Å, c = 10.344 Å, α = 90.00°, β = 90.00° and γ = 90.00°. The inequivalent atoms are Tb at (0.000, 0.000, 0.000), Sm at (0.500, 0.500, 0.204), Sc at (0.000, 0.000, 0.500), Se at (0.000, 0.000, 0.263), Se at (0.000, 0.500, 0.000) and Se at (0.500, 0.500, 0.500).

As for the volume: 276.0 Å³/cell. The final energy comes out at -5.35 eV per atom. For the total magnetization, the calculation gives 0.0 μB per formula unit.

---

# 20
VASP calculation (PBE-GGA) on a relaxed structure of Tb4Sm3ScSe8.

It has space group R-3m (No. 166, hexagonal axes), with a = 8.2108 Å, b = 8.2108 Å, c = 20.0915 Å, α = 90.00°, β = 90.00° and γ = 120.00°. The inequivalent atoms are Tb at (0.0000, 0.0000, 0.0000), Tb at (0.0000, 0.5000, 0.0000), Sm at (0.0000, 0.5000, 0.5000), Sc at (0.0000, 0.0000, 0.5000), Se at (0.0000, 0.0000, 0.2524) and Se at (0.0107, 0.5053, 0.2497).

As for the volume: 1173.0 Å³/cell. The final energy comes out at -5.93 eV per atom. For the total magnetization, the calculation gives 0.0 μB per formula unit.